5
Lattice="-0.364 -0.388 -4.081 2.101 -3.536 0.149 -3.520 -2.070 0.511" Properties=species:S:1:pos:R:3 comment="CuAuC3 (PBE, relaxed)" total_energy_ev_per_atom=-3.75 spacegroup="No. 221" crystal_system=cubic e_form_ev_per_atom=3.257 pbc="T T T"
Cu -0.892 -2.997 -1.711
C -1.760 -1.035 0.255
C -0.182 -0.194 -2.040
C 1.050 -1.768 0.074
Au 0.000 0.000 0.000